{
  "formula": "SiBiO2",
  "functional": "PBE",
  "state": "optimized geometry",
  "cell": [[6.0577, 0.0000, 0.0000], [0.0000, 6.0577, 0.0000], [0.0000, 0.0000, 6.0577]],
  "species": ["Si", "Si", "Si", "Si", "Bi", "Bi", "Bi", "Bi", "O", "O", "O", "O", "O", "O", "O", "O"],
  "fractional_positions": [[0.0000, 0.0000, 0.0000], [0.0000, 0.5000, 0.5000], [0.5000, 0.0000, 0.5000], [0.5000, 0.5000, 0.0000], [0.0000, 0.0000, 0.5000], [0.0000, 0.5000, 0.0000], [0.5000, 0.0000, 0.0000], [0.5000, 0.5000, 0.5000], [0.2500, 0.2500, 0.2500], [0.2500, 0.2500, 0.7500], [0.2500, 0.7500, 0.2500], [0.2500, 0.7500, 0.7500], [0.7500, 0.2500, 0.2500], [0.7500, 0.2500, 0.7500], [0.7500, 0.7500, 0.2500], [0.7500, 0.7500, 0.7500]],
  "total_magnetization_mub_per_cell": 0.0,
  "relative_energy_mev_per_atom": 1364,
  "rho_g_cm3": 8.0,
  "e_form_raw_ev_per_atom": -0.13,
  "total_energy_ha_per_atom": -0.181,
  "spacegroup": "Fm-3m, No. 225"
}